# 1
Compound: Ac5Ga
Source: the Alexandria database
Functional: PBE
Structure: optimized geometry

Excess energy over the best structure of this formula in the dataset, eV/f.u.: 0.00
Crystal system: monoclinic
Formation enthalpy at 0 K, eV per atom: -0.037

Lattice parameters (Å, degrees): 18.7896 3.9972 6.6736 90.00 99.44 90.00
Space group Cm (No. 8)
Unique sites:
Ac 0.0000 0.0000 0.0000 (multiplicity 2)
Ac 0.0399 0.5000 0.5312 (multiplicity 2)
Ac 0.1747 0.5000 0.0814 (multiplicity 2)
Ac 0.2528 0.0000 0.6109 (multiplicity 2)
Ac 0.3505 0.0000 0.1635 (multiplicity 2)
Ga 0.3947 0.5000 0.5604 (multiplicity 2)

# 2
Compound: CePtRhPb
Source: the Alexandria database
Functional: PBE
Structure: optimized geometry

Crystal system: cubic
Formation enthalpy at 0 K, eV per atom: -0.563

Lattice parameters (Å, degrees): 6.9336 6.9336 6.9336 90.00 90.00 90.00
Space group F-43m (No. 216)
Unique sites:
Ce 0.0000 0.0000 0.0000 (multiplicity 4)
Pt 0.2500 0.2500 0.7500 (multiplicity 4)
Rh 0.2500 0.2500 0.2500 (multiplicity 4)
Pb 0.0000 0.0000 0.5000 (multiplicity 4)

# 3
Compound: PrCo13
Source: the Alexandria database
Functional: PBE
Structure: optimized geometry

Crystal system: cubic
Formation enthalpy at 0 K, eV per atom: -0.030

Lattice parameters (Å, degrees): 11.2538 11.2538 11.2538 90.00 90.00 90.00
Space group Fm-3c (No. 226)
Unique sites:
Pr 0.2500 0.2500 0.2500 (multiplicity 8)
Co 0.0000 0.0000 0.0000 (multiplicity 8)
Co 0.0000 0.1183 0.1776 (multiplicity 96)

# 4
Compound: Ag2GeAuSe4
Source: the Alexandria database
Functional: PBE
Structure: optimized geometry

Crystal system: tetragonal
Formation energy without anion corrections, eV per atom: -0.12

Lattice parameters (Å, degrees): 5.9651 5.9651 11.8592 90.00 90.00 90.00
Space group I-4 (No. 82)
Unique sites:
Ag 0.0000 0.0000 0.0000 (multiplicity 2)
Ag 0.0000 0.5000 0.2500 (multiplicity 2)
Ge 0.0000 0.5000 0.7500 (multiplicity 2)
Au 0.0000 0.0000 0.5000 (multiplicity 2)
Se 0.2313 0.7373 0.6299 (multiplicity 8)

no.,total DFT energy (no corrections) (eV/atom)
1,-3.9653
2,-6.3214
3,-6.9692
4,-3.5627